(1)
NaCd2Sb2 (PBE, optimized geometry); formation energy (no corrections) = -115 meV/atom; calculated volume = 31.725 Å³/atom; ρ = 5.143 g cm⁻³; relative energy among the computed polymorphs = 41 meV per atom; DOS at the Fermi energy = 0.551 states/eV/atom
1.0
-1.975 -5.031 -5.123
6.575 3.161 -1.497
0.566 -3.492 6.553
Cd Sb Na
4 4 2
Cartesian
-0.419 -5.292 2.370 Cd
4.549 0.351 -0.945 Cd
2.276 -3.838 -1.341 Cd
1.854 -1.103 2.766 Cd
4.685 -1.642 3.236 Sb
0.852 -3.064 0.975 Sb
4.745 -2.473 -1.660 Sb
0.912 -3.896 -3.921 Sb
2.881 -1.172 -4.146 Na
0.581 -0.236 -0.836 Na

---

(2)
ScCO3 (PBE, optimized geometry); formation energy (no corrections) = 201 meV/atom; calculated volume = 13.117 Å³/atom; ρ = 2.658 g cm⁻³; DOS at the Fermi energy = 0.724 states/eV/atom
1.0
4.033 0.000 0.000
0.000 4.033 0.000
0.000 0.000 4.033
O C Sc
3 1 1
Cartesian
0.000 0.000 2.016 O
0.000 2.016 0.000 O
2.016 0.000 0.000 O
2.016 2.016 2.016 C
0.000 0.000 0.000 Sc

---

(3)
Ho4InBi3 (PBE, optimized geometry); calculated volume = 31.047 Å³/atom; E_form = -0.623 eV/atom; ρ = 9.370 g cm⁻³; DOS at the Fermi energy = 0.420 states/eV/atom
1.0
6.286 0.000 0.000
0.000 6.286 0.000
0.000 0.000 6.286
Bi Ho In
3 4 1
Cartesian
0.000 3.143 3.143 Bi
3.143 0.000 3.143 Bi
3.143 3.143 0.000 Bi
0.000 0.000 3.143 Ho
3.143 0.000 0.000 Ho
3.143 3.143 3.143 Ho
0.000 3.143 0.000 Ho
0.000 0.000 0.000 In

---

(4)
ErGaCl4 (PBE, optimized geometry); formation energy (no corrections) = -1738 meV/atom; calculated volume = 32.917 Å³/atom; ρ = 3.185 g cm⁻³; DOS at the Fermi energy = 0.000 states/eV/atom
1.0
-1.133 -0.992 3.740
5.169 -7.553 1.734
8.485 4.214 5.862
Cl Er Ga
8 2 2
Cartesian
2.534 -3.539 5.261 Cl
9.927 -4.712 7.189 Cl
2.594 0.381 4.146 Cl
7.441 -3.790 4.508 Cl
8.533 1.597 8.442 Cl
5.080 -0.542 6.828 Cl
9.988 -0.792 6.075 Cl
3.988 -5.929 2.894 Cl
2.018 -4.273 2.737 Er
4.243 2.107 2.931 Er
7.373 1.024 5.766 Ga
5.149 -5.355 5.569 Ga

---

(5)
Tb3Er7Sc (PBE, optimized geometry); calculated volume = 31.212 Å³/atom; E_form = 0.159 eV/atom; ρ = 8.186 g cm⁻³; relative energy among the computed polymorphs = 0 meV per atom; DOS at the Fermi energy = 1.508 states/eV/atom
1.0
8.059 -1.072 -2.849
-2.491 10.086 -0.683
-1.827 -0.106 5.070
Er Tb Sc
7 3 1
Cartesian
-0.658 3.516 2.703 Er
-0.326 6.714 2.891 Er
4.067 2.194 -1.354 Er
3.327 7.319 1.354 Er
0.414 1.589 0.183 Er
3.116 -0.589 1.110 Er
4.398 5.391 -1.166 Er
-2.046 9.576 2.332 Tb
5.787 -0.669 -0.795 Tb
-1.246 5.043 -0.341 Tb
1.870 4.454 0.769 Sc

---

(6)
Tb9Pr2Tm (PBE, optimized geometry); calculated volume = 32.444 Å³/atom; E_form = 0.022 eV/atom; ρ = 8.023 g cm⁻³; relative energy among the computed polymorphs = 0 meV per atom; DOS at the Fermi energy = 1.528 states/eV/atom
1.0
5.064 0.000 0.000
0.000 5.064 0.000
0.000 0.000 15.184
Tb Tm Pr
9 1 2
Cartesian
2.532 0.000 2.482 Tb
2.532 2.532 5.032 Tb
2.532 2.532 10.152 Tb
2.532 2.532 0.000 Tb
2.532 0.000 7.592 Tb
0.000 2.532 12.701 Tb
0.000 2.532 2.482 Tb
0.000 2.532 7.592 Tb
2.532 0.000 12.701 Tb
0.000 0.000 0.000 Tm
0.000 0.000 5.042 Pr
0.000 0.000 10.141 Pr

---

(7)
Pm6CSe5 (PBE, optimized geometry); formation energy (no corrections) = -1611 meV/atom; calculated volume = 25.087 Å³/atom; ρ = 7.043 g cm⁻³; DOS at the Fermi energy = 0.463 states/eV/atom
1.0
-0.847 -2.860 -6.514
3.050 -3.975 6.614
-6.823 1.596 1.494
Se Pm C
5 6 1
Cartesian
-0.796 -4.022 0.562 Se
-3.824 -1.217 1.032 Se
-2.210 -3.176 4.315 Se
-2.411 -2.063 -2.721 Se
1.525 -1.987 3.307 Se
-1.027 -1.432 1.949 Pm
-5.276 -1.607 -3.995 Pm
0.297 -2.176 -1.468 Pm
0.655 -3.632 5.589 Pm
1.906 -4.659 1.568 Pm
-3.593 -3.807 -0.355 Pm
0.000 0.000 0.000 C

---

(8)
Si3PdAu (PBE, optimized geometry); formation energy (no corrections) = 605 meV/atom; calculated volume = 20.523 Å³/atom; ρ = 6.273 g cm⁻³; relative energy among the computed polymorphs = 0 meV per atom; DOS at the Fermi energy = 0.877 states/eV/atom
1.0
-3.021 1.335 -3.318
2.056 -2.906 -3.041
-2.927 -3.419 1.289
Pd Au Si
1 1 3
Cartesian
0.000 0.000 0.000 Pd
-1.946 -2.495 -2.535 Au
1.028 -1.453 -1.520 Si
-1.464 -1.709 0.644 Si
-1.510 0.668 -1.659 Si